# PBE+U MgMn4O6, relaxed
# DFT total energy	-7.36	eV per atom
data_MgMn4O6
_cell_length_a 3.233
_cell_length_b 15.820
_cell_length_c 5.097
_cell_angle_alpha 90.00
_cell_angle_beta 94.99
_cell_angle_gamma 90.00
_space_group_name_H-M_alt 'P 1'
_space_group_IT_number 1
_space_group_name_Hall 'P 1'
loop_
_atom_site_label
_atom_site_type_symbol
_atom_site_fract_x
_atom_site_fract_y
_atom_site_fract_z
_atom_site_occupancy
Mg1 Mg 0.007 0.250 0.360 1
Mg2 Mg 0.993 0.750 0.640 1
Mn1 Mn 0.163 0.044 0.277 1
Mn2 Mn 0.163 0.456 0.277 1
Mn3 Mn 0.465 0.644 0.165 1
Mn4 Mn 0.465 0.856 0.165 1
Mn5 Mn 0.535 0.144 0.835 1
Mn6 Mn 0.535 0.356 0.835 1
Mn7 Mn 0.837 0.544 0.723 1
Mn8 Mn 0.837 0.956 0.723 1
O1 O 0.080 0.154 0.107 1
O2 O 0.080 0.346 0.107 1
O3 O 0.201 0.569 0.448 1
O4 O 0.201 0.931 0.448 1
O5 O 0.469 0.750 0.407 1
O6 O 0.500 0.000 0.000 1
O7 O 0.500 0.500 0.000 1
O8 O 0.531 0.250 0.593 1
O9 O 0.799 0.069 0.552 1
O10 O 0.799 0.431 0.552 1
O11 O 0.920 0.654 0.893 1
O12 O 0.920 0.846 0.893 1